Compound: BaSiPt2
Source: Alexandria via LeMat-Bulk
Functional: GGA-PBEsol
Structure: relaxed

a = 5.235 Å, b = 5.235 Å, c = 8.555 Å
α = 107.82°, β = 107.82°, γ = 90.00°
Element x y z (fractional)
Ba1 0.000 0.000 0.000
Ba2 0.250 0.750 0.500
Pt1 0.625 0.375 0.250
Pt2 0.625 0.875 0.250
Pt3 0.625 0.375 0.750
Pt4 0.125 0.375 0.750
Si1 0.500 0.500 0.000
Si2 0.750 0.250 0.500

For the formation energy (no corrections), the calculation gives -0.681 eV/atom. Its density is 8.731 Mg/m³. The value obtained for the density of states at the Fermi level is 0.47 states/eV per atom.